# La8Tl2Co3

A geometry-optimized La8Tl2Co3 structure (PBE, Alexandria).

SG: C2/m
Energy of formation, kJ/mol of atoms: -8.38
Electronic total energy, eV per cell: -66.60
Mass density, Mg/m³: 7.1

Lattice parameters (Å, degrees): 9.118 9.118 6.470 97.78 97.78 48.30
Sites, in units of the cell vectors:
1 La 0.058 0.058 0.305
2 La 0.158 0.634 0.183
3 La 0.354 0.354 0.680
4 La 0.366 0.842 0.817
5 La 0.634 0.158 0.183
6 La 0.646 0.646 0.320
7 La 0.842 0.366 0.817
8 La 0.942 0.942 0.695
9 Tl 0.232 0.232 0.186
10 Tl 0.768 0.768 0.814
11 Co 0.343 0.657 0.500
12 Co 0.500 0.500 0.000
13 Co 0.657 0.343 0.500